(1)
Na3Ga2Sb4: relaxed, PBE.

Output
E_form (uncorrected) = -0.24 eV per atom
ΔE to the lowest computed polymorph = 0.00 eV per formula unit
Spin magnetization = 0.00 μB/cell

a = 17.738 Å, b = 4.246 Å, c = 7.646 Å
α = 90.00°, β = 115.01°, γ = 90.00°
Space group C2/m (No. 12)
Unique sites:
1 Na 0.000 0.000 0.000 [2 per cell]
2 Na 0.144 0.000 0.542 [4 per cell]
3 Ga 0.168 0.500 0.939 [4 per cell]
4 Sb 0.004 0.500 0.686 [4 per cell]
5 Sb 0.207 0.000 0.190 [4 per cell]



(2)
NaGaSb: relaxed, PBE.

Output
E_form (uncorrected) = -0.16 eV per atom
ΔE to the lowest computed polymorph = 0.11 eV per formula unit
Spin magnetization = 0.00 μB/cell

a = 5.0887 Å, b = 5.0887 Å, c = 3.2939 Å
α = 90.00°, β = 90.00°, γ = 120.00°
Space group P3m1 (No. 156)
Unique sites:
1 Na 0.0000 0.0000 0.0000 [1 per cell]
2 Ga 0.3333 0.6667 0.6016 [1 per cell]
3 Sb 0.6667 0.3333 0.4502 [1 per cell]



(3)
Na3Ga2Sb4: relaxed, PBE.

Output
E_form (uncorrected) = -0.23 eV per atom
ΔE to the lowest computed polymorph = 0.13 eV per formula unit
Spin magnetization = 0.00 μB/cell

a = 13.716 Å, b = 4.274 Å, c = 9.558 Å
α = 90.00°, β = 112.29°, γ = 90.00°
Space group C2/m (No. 12)
Unique sites:
1 Na 0.000 0.000 0.000 [2 per cell]
2 Na 0.106 0.500 0.683 [4 per cell]
3 Ga 0.213 0.500 0.356 [4 per cell]
4 Sb 0.097 0.000 0.385 [4 per cell]
5 Sb 0.200 0.500 0.057 [4 per cell]



(4)
NaGaSb: relaxed, PBE.

Output
E_form (uncorrected) = -0.13 eV per atom
ΔE to the lowest computed polymorph = 0.19 eV per formula unit
Spin magnetization = 0.00 μB/cell

a = 3.749 Å, b = 3.749 Å, c = 10.967 Å
α = 90.00°, β = 90.00°, γ = 90.00°
Space group I4mm (No. 107)
Unique sites:
1 Na 0.000 0.000 0.000 [2 per cell]
2 Ga 0.000 0.000 0.684 [2 per cell]
3 Sb 0.000 0.000 0.308 [2 per cell]



(5)
Na3GaSb3: relaxed, PBE.

Output
E_form (uncorrected) = -0.28 eV per atom
ΔE to the lowest computed polymorph = 0.00 eV per formula unit
Spin magnetization = 0.00 μB/cell

a = 11.805 Å, b = 4.910 Å, c = 14.490 Å
α = 90.00°, β = 107.91°, γ = 90.00°
Space group C2/m (No. 12)
Unique sites:
1 Na 0.016 0.000 0.378 [4 per cell]
2 Na 0.103 0.000 0.918 [4 per cell]
3 Na 0.212 0.000 0.211 [4 per cell]
4 Ga 0.213 0.500 0.399 [4 per cell]
5 Sb 0.007 0.500 0.235 [4 per cell]
6 Sb 0.112 0.500 0.074 [4 per cell]
7 Sb 0.153 0.500 0.570 [4 per cell]



(6)
Na3GaSb3: relaxed, PBE.

Output
E_form (uncorrected) = -0.21 eV per atom
ΔE to the lowest computed polymorph = 0.45 eV per formula unit
Spin magnetization = 0.00 μB/cell

a = 9.259 Å, b = 9.644 Å, c = 9.365 Å
α = 90.00°, β = 91.37°, γ = 90.00°
Space group C2/m (No. 12)
Unique sites:
1 Na 0.000 0.180 0.000 [4 per cell]
2 Na 0.000 0.287 0.500 [4 per cell]
3 Na 0.058 0.500 0.178 [4 per cell]
4 Ga 0.164 0.000 0.384 [4 per cell]
5 Sb 0.139 0.000 0.677 [4 per cell]
6 Sb 0.219 0.298 0.773 [8 per cell]



(7)
Na8GaSb2: relaxed, PBE.

Output
E_form (uncorrected) = -0.25 eV per atom
Spin magnetization = 0.00 μB/cell

a = 16.137 Å, b = 5.192 Å, c = 9.024 Å
α = 90.00°, β = 123.97°, γ = 90.00°
Space group C2/m (No. 12)
Unique sites:
1 Na 0.000 0.000 0.182 [4 per cell]
2 Na 0.143 0.000 0.642 [4 per cell]
3 Na 0.158 0.500 0.367 [4 per cell]
4 Na 0.159 0.500 0.949 [4 per cell]
5 Ga 0.000 0.500 0.500 [2 per cell]
6 Sb 0.207 0.000 0.207 [4 per cell]



(8)
NaGaSb3: relaxed, PBE.

Output
E_form (uncorrected) = 0.31 eV per atom
ΔE to the lowest computed polymorph = 0.00 eV per formula unit
Spin magnetization = 0.00 μB/cell

a = 5.423 Å, b = 5.423 Å, c = 5.423 Å
α = 90.00°, β = 90.00°, γ = 90.00°
Space group Pm-3m (No. 221)
Unique sites:
1 Na 0.000 0.000 0.000 [1 per cell]
2 Ga 0.500 0.500 0.500 [1 per cell]
3 Sb 0.000 0.500 0.500 [3 per cell]